No. 1
CaTeN3 after structural relaxation. Source: Alexandria via LeMat-Bulk, functional PBE-GGA.

Calculated values
uncorrected energy: -4.00 eV per atom
total magnetization: 3.75 Bohr magnetons per cell
E_form (uncorrected): 2.02 eV/atom
D(E_F): 4.26 states/eV per cell

abc: 4.3933 4.3933 4.3933
angles: 90.00 90.00 90.00
Positions (direct):
Ca1 0.0000 0.0000 0.0000
Te1 0.5000 0.5000 0.5000
N1 0.0000 0.0000 0.5000
N2 0.0000 0.5000 0.0000
N3 0.5000 0.0000 0.0000

***

No. 2
Ca8TeN4 after structural relaxation. Source: Alexandria via LeMat-Bulk, functional PBE-GGA.

Calculated values
uncorrected energy: -4.83 eV per atom
total magnetization: 0.00 Bohr magnetons per cell
E_form (uncorrected): -0.79 eV/atom

abc: 7.6663 7.6663 7.6663
angles: 60.00 60.00 60.00
Positions (direct):
Ca1 0.4002 0.4002 0.4002
Ca2 0.4002 0.4002 0.7994
Ca3 0.4002 0.7994 0.4002
Ca4 0.4280 0.8573 0.8573
Ca5 0.7994 0.4002 0.4002
Ca6 0.8573 0.4280 0.8573
Ca7 0.8573 0.8573 0.4280
Ca8 0.8573 0.8573 0.8573
Te1 0.2500 0.2500 0.2500
N1 0.1228 0.6257 0.6257
N2 0.6257 0.1228 0.6257
N3 0.6257 0.6257 0.1228
N4 0.6257 0.6257 0.6257

***

No. 3
Ca4Te2N after structural relaxation. Source: Alexandria via LeMat-Bulk, functional PBE-GGA.

Calculated values
energy above the lowest structure with this stoichiometry: 0.000 eV/atom
uncorrected energy: -4.45 eV per atom
total magnetization: 0.00 Bohr magnetons per cell
E_form (uncorrected): -1.21 eV/atom
D(E_F): 3.64 states/eV per cell

abc: 8.6083 8.6083 8.6083
angles: 147.33 147.33 46.87
Positions (direct):
Ca1 0.0000 0.5000 0.5000
Ca2 0.1541 0.1541 0.0000
Ca3 0.5000 0.0000 0.5000
Ca4 0.8459 0.8459 0.0000
Te1 0.3572 0.3572 0.0000
Te2 0.6428 0.6428 0.0000
N1 0.0000 0.0000 0.0000

***

No. 4
Ca6Te3N2 after structural relaxation. Source: Alexandria via LeMat-Bulk, functional PBE-GGA.

Calculated values
energy above the lowest structure with this stoichiometry: 0.000 eV/atom
uncorrected energy: -4.79 eV per atom
total magnetization: 0.00 Bohr magnetons per cell
E_form (uncorrected): -1.33 eV/atom
D(E_F): 0.00 states/eV per cell

abc: 8.2480 8.2480 8.2480
angles: 94.36 94.36 94.36
Positions (direct):
Ca1 0.0180 0.9038 0.7218
Ca2 0.0962 0.2782 0.9820
Ca3 0.2218 0.4038 0.5180
Ca4 0.2782 0.9820 0.0962
Ca5 0.4038 0.5180 0.2218
Ca6 0.4820 0.7782 0.5962
Ca7 0.5180 0.2218 0.4038
Ca8 0.5962 0.4820 0.7782
Ca9 0.7218 0.0180 0.9038
Ca10 0.7782 0.5962 0.4820
Ca11 0.9038 0.7218 0.0180
Ca12 0.9820 0.0962 0.2782
Te1 0.1245 0.7500 0.3755
Te2 0.2500 0.6245 0.8755
Te3 0.3755 0.1245 0.7500
Te4 0.6245 0.8755 0.2500
Te5 0.7500 0.3755 0.1245
Te6 0.8755 0.2500 0.6245
N1 0.0000 0.0000 0.0000
N2 0.2500 0.2500 0.2500
N3 0.5000 0.5000 0.5000
N4 0.7500 0.7500 0.7500

***

No. 5
CaTe3N after structural relaxation. Source: Alexandria via LeMat-Bulk, functional PBE-GGA.

Calculated values
uncorrected energy: -3.94 eV per atom
total magnetization: 0.00 Bohr magnetons per cell
E_form (uncorrected): 0.01 eV/atom
D(E_F): 2.44 states/eV per cell

abc: 4.8812 4.8812 4.8812
angles: 90.00 90.00 90.00
Positions (direct):
Ca1 0.0000 0.0000 0.0000
Te1 0.0000 0.5000 0.5000
Te2 0.5000 0.0000 0.5000
Te3 0.5000 0.5000 0.0000
N1 0.5000 0.5000 0.5000

***

No. 6
CaTeN3 after structural relaxation. Source: Alexandria via LeMat-Bulk, functional PBE-GGA.

Calculated values
uncorrected energy: -5.40 eV per atom
total magnetization: 0.00 Bohr magnetons per cell
E_form (uncorrected): 0.63 eV/atom
D(E_F): 2.13 states/eV per cell

abc: 3.9965 3.9965 3.9965
angles: 90.00 90.00 90.00
Positions (direct):
Ca1 0.0000 0.0000 0.0000
Te1 0.5000 0.5000 0.5000
N1 0.0000 0.5000 0.5000
N2 0.5000 0.0000 0.5000
N3 0.5000 0.5000 0.0000

***

No. 7
CaTeN after structural relaxation. Source: Alexandria via LeMat-Bulk, functional PBE-GGA.

Calculated values
energy above the lowest structure with this stoichiometry: 0.061 eV/atom
uncorrected energy: -5.45 eV per atom
total magnetization: 0.00 Bohr magnetons per cell
E_form (uncorrected): -0.96 eV/atom

abc: 5.4260 5.4260 6.3850
angles: 93.68 93.68 66.28
Positions (direct):
Ca1 0.1904 0.1904 0.2530
Ca2 0.8096 0.8096 0.7470
Te1 0.1665 0.1665 0.7594
Te2 0.8335 0.8335 0.2406
N1 0.4449 0.4449 0.4535
N2 0.5551 0.5551 0.5465

***

No. 8
CaTe2N2 after structural relaxation. Source: Alexandria via LeMat-Bulk, functional PBE-GGA.

Calculated values
energy above the lowest structure with this stoichiometry: 1.015 eV/atom
uncorrected energy: -3.28 eV per atom
total magnetization: 3.06 Bohr magnetons per cell
E_form (uncorrected): 1.71 eV/atom
D(E_F): 4.73 states/eV per cell

abc: 6.1128 6.1128 4.6242
angles: 90.00 90.00 90.00
Positions (direct):
Ca1 0.0000 0.0000 0.0000
Te1 0.0000 0.5000 0.0000
Te2 0.5000 0.0000 0.0000
N1 0.0000 0.0000 0.5000
N2 0.5000 0.5000 0.5000

***

No. 9
CaTe2N2 after structural relaxation. Source: Alexandria via LeMat-Bulk, functional PBE-GGA.

Calculated values
energy above the lowest structure with this stoichiometry: 0.181 eV/atom
uncorrected energy: -4.11 eV per atom
total magnetization: 1.84 Bohr magnetons per cell
E_form (uncorrected): 0.88 eV/atom
D(E_F): 1.16 states/eV per cell

abc: 4.7460 4.7460 4.4066
angles: 90.00 90.00 90.00
Positions (direct):
Ca1 0.0000 0.0000 0.0000
Te1 0.0000 0.5000 0.5000
Te2 0.5000 0.0000 0.5000
N1 0.5000 0.5000 0.0000
N2 0.5000 0.5000 0.5000

***

No. 10
Ca6Te3N2 after structural relaxation. Source: Alexandria via LeMat-Bulk, functional PBE-GGA.

Calculated values
energy above the lowest structure with this stoichiometry: 0.046 eV/atom
uncorrected energy: -4.74 eV per atom
total magnetization: 0.00 Bohr magnetons per cell
E_form (uncorrected): -1.28 eV/atom

abc: 13.2025 13.2025 13.2025
angles: 159.21 159.21 29.56
Positions (direct):
Ca1 0.0862 0.5862 0.5000
Ca2 0.1899 0.1899 0.0000
Ca3 0.4138 0.9138 0.5000
Ca4 0.5862 0.0862 0.5000
Ca5 0.8101 0.8101 0.0000
Ca6 0.9138 0.4138 0.5000
Te1 0.3185 0.3185 0.0000
Te2 0.5000 0.5000 0.0000
Te3 0.6815 0.6815 0.0000
N1 0.1029 0.1029 0.0000
N2 0.8971 0.8971 0.0000